Crystalline Lu2Sc4Fe3N3 at its relaxed geometry. Source: OQMD, functional PBE-GGA.

abc: 9.496 5.473 13.986
angles: 90.00 103.76 90.00
Space group C2/c (No. 15)
Asymmetric unit:
Lu: 0.042 0.083 0.382 (multiplicity 8)
Sc: 0.113 0.412 0.588 (multiplicity 8)
Sc: 0.222 0.419 0.912 (multiplicity 8)
Fe: 0.000 0.420 0.750 (multiplicity 4)
Fe: 0.245 0.160 0.750 (multiplicity 8)
N: 0.083 0.248 0.000 (multiplicity 8)
N: 0.250 0.250 0.500 (multiplicity 4)

Calculated values
E	-7.8796	eV per atom